The following is a PBE calculation of a geometry-optimized Ni2MoBr structure, from the Alexandria database.

Calculated values
- Electronic total energy: -22.08 eV for the cell shown
- E_form (uncorrected): 0.50 eV per atom

a b c (Å): 3.195 3.194 6.109
angles (deg): 90.00 90.00 90.00
Fractional positions:
Br: 0.500 0.500 0.250
Mo: 0.500 0.500 0.750
Ni: 0.000 0.000 0.957
Ni: 0.000 0.000 0.543